No. 1
Here is a geometry-optimized KNaGe2Cl6 structure from Alexandria via LeMat-Bulk. Energies are from GGA-PBE.

Unit cell a=10.6443 b=15.0109 c=9.4841 alpha=90.00 beta=115.55 gamma=90.00
Space group C2/c (No. 15)
One atom of each set of equivalent atoms:
K  0.0000  0.0534  0.2500
Na  0.0000  0.2637  0.7500
Ge  0.1808  0.3415  0.2799
Cl  0.0796  0.1139  0.6002
Cl  0.1580  0.3681  0.0281
Cl  0.2451  0.1901  0.2965

- Formation energy (no corrections): -1243.2 meV/atom
- E: -35.16 eV/f.u.
- Spin magnetization: 0.0 μB per formula unit

***

No. 2
Here is a geometry-optimized CrB structure from Alexandria via LeMat-Bulk. Energies are from GGA-PBE.

Unit cell a=2.9521 b=8.6872 c=4.1810 alpha=90.00 beta=90.00 gamma=90.00
Space group Amm2 (No. 38)
One atom of each set of equivalent atoms:
Cr  0.0000  0.0000  0.0000
Cr  0.0000  0.1608  0.4468
B  0.5000  0.0000  0.6285
B  0.5000  0.1693  0.8472

- Energy relative to the elements: -0.028 eV/atom
- E: -16.36 eV/f.u.
- Spin magnetization: 0.0 μB per formula unit

***

No. 3
Here is a geometry-optimized HfTiPd2 structure from Alexandria via LeMat-Bulk. Energies are from GGA-PBE.

Unit cell a=7.1905 b=7.1905 c=5.5873 alpha=90.00 beta=90.00 gamma=90.00
Space group I-42d (No. 122)
One atom of each set of equivalent atoms:
Hf  0.0000  0.0000  0.0000
Ti  0.0000  0.0000  0.5000
Pd  0.2356  0.2500  0.6250

- Energy relative to the elements: -0.224 eV/atom
- E above lowest polymorph: 358 meV per atom
- E: -29.13 eV/f.u.
- Spin magnetization: 0.0 μB per formula unit

***

No. 4
Here is a geometry-optimized IrAuBr2 structure from Alexandria via LeMat-Bulk. Energies are from GGA-PBE.

Unit cell a=3.0573 b=4.7539 c=12.6450 alpha=90.00 beta=90.00 gamma=90.00
Space group Imm2 (No. 44)
One atom of each set of equivalent atoms:
Ir  0.0000  0.0000  0.0000
Au  0.0000  0.5000  0.6786
Br  0.0000  0.0000  0.5169
Br  0.0000  0.5000  0.3365

- Formation energy (no corrections): 597.9 meV/atom
- E above lowest polymorph: 485 meV per atom
- E: -13.09 eV/f.u.
- Spin magnetization: 0.0 μB per formula unit

***

No. 5
Here is a geometry-optimized LiBi2IBr structure from Alexandria via LeMat-Bulk. Energies are from GGA-PBE.

Unit cell a=6.2413 b=6.2413 c=4.4788 alpha=90.00 beta=90.00 gamma=90.00
Space group P4/mmm (No. 123)
One atom of each set of equivalent atoms:
Li  0.0000  0.0000  0.0000
Bi  0.0000  0.5000  0.5000
I  0.5000  0.5000  0.0000
Br  0.0000  0.0000  0.5000

- Formation energy (no corrections): 169.3 meV/atom
- E: -12.05 eV/f.u.
- Spin magnetization: 0.0 μB per formula unit

***

No. 6
Here is a geometry-optimized MgTl2In2 structure from Alexandria via LeMat-Bulk. Energies are from GGA-PBE.

Unit cell a=4.4632 b=4.4632 c=15.3252 alpha=90.00 beta=90.00 gamma=90.00
Space group I4/mmm (No. 139)
One atom of each set of equivalent atoms:
Mg  0.0000  0.0000  0.0000
Tl  0.0000  0.5000  0.2500
In  0.0000  0.0000  0.4051

- Energy relative to the elements: 0.179 eV/atom
- E above lowest polymorph: 111 meV per atom
- E: -10.91 eV/f.u.
- Spin magnetization: 0.0 μB per formula unit